A relaxed Mg30CdFeO32 crystal, computed with GGA+U. Values from VASP.

Geometry as Quantum ESPRESSO input:
```
&SYSTEM
  ibrav = 0, nat = 64, ntyp = 4
/
ATOMIC_SPECIES
Mg 24.30 Mg.upf
O 16.00 O.upf
Fe 55.84 Fe.upf
Cd 112.41 Cd.upf
CELL_PARAMETERS angstrom
8.555 0.000 0.000
0.000 8.573 0.000
0.000 0.000 8.573
ATOMIC_POSITIONS angstrom
Mg 2.120 0.000 2.175
Mg 6.420 6.426 4.286
Mg 4.277 4.286 0.000
Mg 6.435 0.000 6.398
Mg 4.277 0.000 4.286
Mg 0.000 6.430 2.142
Mg 4.277 2.163 6.409
Mg 2.135 6.426 4.286
Mg 2.135 4.286 6.426
Mg 4.277 2.163 2.163
Mg 4.277 6.409 2.163
Mg 0.000 6.430 6.430
Mg 6.420 4.286 2.146
Mg 2.135 2.146 4.286
Mg 0.000 4.286 0.000
Mg 2.120 0.000 6.398
Mg 6.435 2.175 0.000
Mg 2.120 6.398 0.000
Mg 2.120 2.175 0.000
Mg 2.135 4.286 2.146
Mg 6.420 4.286 6.426
Mg 0.000 2.142 2.142
Mg 6.420 2.146 4.286
Mg 4.277 6.409 6.409
Mg 6.435 0.000 2.175
Mg 4.277 4.286 4.286
Mg 0.000 0.000 4.286
Mg 0.000 4.286 4.286
Mg 6.435 6.398 0.000
Mg 0.000 2.142 6.430
O 4.277 2.260 0.000
O 0.000 6.418 4.286
O 2.142 6.435 2.137
O 0.000 2.155 4.286
O 4.277 0.000 6.313
O 0.000 2.213 0.000
O 0.000 4.286 2.155
O 6.418 4.286 4.286
O 2.132 0.000 4.286
O 2.132 4.286 0.000
O 6.528 0.000 0.000
O 2.142 6.435 6.435
O 0.000 0.000 6.359
O 0.000 4.286 6.418
O 6.423 4.286 0.000
O 2.027 0.000 0.000
O 6.413 2.137 2.137
O 2.142 2.137 6.435
O 6.423 0.000 4.286
O 0.000 6.359 0.000
O 6.413 6.435 6.435
O 0.000 0.000 2.213
O 4.277 4.286 2.160
O 4.277 6.412 4.286
O 4.277 4.286 6.412
O 6.413 6.435 2.137
O 2.142 2.137 2.137
O 4.277 2.160 4.286
O 2.137 4.286 4.286
O 4.277 6.313 0.000
O 6.413 2.137 6.435
O 4.277 0.000 2.260
Fe 0.000 0.000 0.000
Cd 4.277 0.000 0.000
```

Values from the calculation:
Total DFT energy (no corrections), eV/cell: -379.4
DOS at the Fermi energy, states/eV/f.u.: 0.00
Total magnetization, μB/cell: 4.004